Version one
# Fe4OF7

Fe4OF7 after structural relaxation (PBE+U, Alexandria via LeMat-Bulk).

The structure in CIF format:
```
data_Fe4OF7
_cell_length_a 6.379
_cell_length_b 4.839
_cell_length_c 4.839
_cell_angle_alpha 90.57
_cell_angle_beta 90.00
_cell_angle_gamma 90.00
_symmetry_space_group_name_H-M 'P 1'
_symmetry_Int_Tables_number 1
loop_
_symmetry_equiv_pos_as_xyz
'x,y,z'
loop_
_atom_site_label
_atom_site_fract_x
_atom_site_fract_y
_atom_site_fract_z
Fe1 0.000 0.000 0.000
Fe2 0.231 0.471 0.471
Fe3 0.500 0.973 0.973
Fe4 0.769 0.471 0.471
O1 0.000 0.288 0.288
F1 0.000 0.694 0.694
F2 0.256 0.188 0.775
F3 0.256 0.775 0.188
F4 0.500 0.282 0.282
F5 0.500 0.667 0.667
F6 0.744 0.188 0.775
F7 0.744 0.775 0.188
```

Results
Volume   12.45 Å³/atom
Space group   Amm2, No. 38
Total magnetic moment   17.000 μB/f.u.


Version two
# Fe4OF7

Fe4OF7 after structural relaxation (PBE+U, Alexandria via LeMat-Bulk).

The structure in CIF format:
```
data_Fe4OF7
_cell_length_a 4.812
_cell_length_b 5.829
_cell_length_c 10.827
_cell_angle_alpha 97.90
_cell_angle_beta 90.52
_cell_angle_gamma 90.15
_symmetry_space_group_name_H-M 'P 1'
_symmetry_Int_Tables_number 1
loop_
_symmetry_equiv_pos_as_xyz
'x,y,z'
loop_
_atom_site_label
_atom_site_fract_x
_atom_site_fract_y
_atom_site_fract_z
Fe1 0.007 0.130 0.375
Fe2 0.013 0.392 0.129
Fe3 0.478 0.856 0.126
Fe4 0.488 0.623 0.367
Fe5 0.512 0.377 0.633
Fe6 0.522 0.144 0.874
Fe7 0.987 0.608 0.871
Fe8 0.993 0.870 0.625
O1 0.309 0.619 0.192
O2 0.691 0.381 0.808
F1 0.198 0.597 0.700
F2 0.202 0.331 0.949
F3 0.203 0.855 0.451
F4 0.213 0.103 0.196
F5 0.298 0.083 0.712
F6 0.305 0.351 0.453
F7 0.309 0.854 0.952
F8 0.691 0.146 0.048
F9 0.695 0.649 0.547
F10 0.702 0.917 0.288
F11 0.787 0.897 0.804
F12 0.797 0.145 0.549
F13 0.798 0.669 0.051
F14 0.802 0.403 0.300
```

Results
Volume   12.53 Å³/atom
Space group   P-1, No. 2
Total magnetic moment   17.000 μB/f.u.
Fermi-level density of states   0.0 states/eV/f.u.


Version three
# Fe4OF7

Fe4OF7 after structural relaxation (PBE+U, Alexandria via LeMat-Bulk).

The structure in CIF format:
```
data_Fe4OF7
_cell_length_a 6.451
_cell_length_b 4.830
_cell_length_c 10.202
_cell_angle_alpha 90.00
_cell_angle_beta 107.65
_cell_angle_gamma 90.00
_symmetry_space_group_name_H-M 'P 1'
_symmetry_Int_Tables_number 1
loop_
_symmetry_equiv_pos_as_xyz
'x,y,z'
loop_
_atom_site_label
_atom_site_fract_x
_atom_site_fract_y
_atom_site_fract_z
Fe1 0.054 0.000 0.362
Fe2 0.184 0.460 0.131
Fe3 0.300 0.947 0.872
Fe4 0.430 0.475 0.620
Fe5 0.570 0.975 0.380
Fe6 0.700 0.447 0.128
Fe7 0.816 0.960 0.869
Fe8 0.946 0.500 0.638
O1 0.008 0.765 0.772
O2 0.992 0.265 0.228
F1 0.122 0.678 0.520
F2 0.123 0.162 0.972
F3 0.221 0.280 0.715
F4 0.264 0.777 0.292
F5 0.352 0.163 0.477
F6 0.392 0.654 0.039
F7 0.497 0.771 0.766
F8 0.503 0.271 0.234
F9 0.608 0.154 0.961
F10 0.648 0.663 0.523
F11 0.736 0.277 0.708
F12 0.779 0.780 0.285
F13 0.877 0.662 0.028
F14 0.878 0.178 0.480
```

Results
Volume   12.62 Å³/atom
Space group   P2_1, No. 4
Total magnetic moment   17.000 μB/f.u.


Version four
# Fe4OF7

Fe4OF7 after structural relaxation (PBE+U, Alexandria via LeMat-Bulk).

The structure in CIF format:
```
data_Fe4OF7
_cell_length_a 5.773
_cell_length_b 4.774
_cell_length_c 10.717
_cell_angle_alpha 90.00
_cell_angle_beta 97.76
_cell_angle_gamma 90.00
_symmetry_space_group_name_H-M 'P 1'
_symmetry_Int_Tables_number 1
loop_
_symmetry_equiv_pos_as_xyz
'x,y,z'
loop_
_atom_site_label
_atom_site_fract_x
_atom_site_fract_y
_atom_site_fract_z
Fe1 0.107 0.000 0.131
Fe2 0.129 0.491 0.632
Fe3 0.363 0.963 0.875
Fe4 0.379 0.475 0.375
Fe5 0.621 0.975 0.625
Fe6 0.637 0.463 0.125
Fe7 0.871 0.991 0.368
Fe8 0.893 0.500 0.869
O1 0.137 0.674 0.808
O2 0.863 0.174 0.192
F1 0.097 0.190 0.960
F2 0.108 0.283 0.451
F3 0.158 0.772 0.289
F4 0.350 0.165 0.701
F5 0.353 0.270 0.202
F6 0.389 0.792 0.057
F7 0.399 0.680 0.544
F8 0.601 0.180 0.456
F9 0.611 0.292 0.943
F10 0.647 0.770 0.798
F11 0.650 0.665 0.299
F12 0.842 0.272 0.711
F13 0.892 0.783 0.549
F14 0.903 0.690 0.040
```

Results
Volume   12.20 Å³/atom
Space group   P2_1, No. 4
Total magnetic moment   7.001 μB/f.u.
Fermi-level density of states   0.0 states/eV/f.u.


Name the least stable of them. version four.